Density functional theory data (PBE) for a geometry-optimized Er5InRh structure.

Output
The crystal system is monoclinic. Its mass density is 8.9 g cm⁻³. The calculation puts the raw total energy at -4.96 eV per atom. For the volume, the calculation gives 28.0 Å³/atom.

```
data_Er5InRh
_chemical_formula_sum 'Er20 In4 Rh4'
_cell_length_a 10.7231
_cell_length_b 6.8620
_cell_length_c 11.2815
_cell_angle_alpha 90.00
_cell_angle_beta 108.94
_cell_angle_gamma 90.00
_space_group_name_H-M_alt 'C 1 2/c 1'
_space_group_IT_number 15
loop_
_space_group_symop_operation_xyz
'x,y,z'
'-x,-y,-z'
'-x,y,-z+1/2'
'x,-y,z+1/2'
'x+1/2,y+1/2,z'
'-x+1/2,-y+1/2,-z'
'-x+1/2,y+1/2,-z+1/2'
'x+1/2,-y+1/2,z+1/2'
loop_
_atom_site_label
_atom_site_type_symbol
_atom_site_fract_x
_atom_site_fract_y
_atom_site_fract_z
Er1 Er 0.0000 0.0185 0.2500
Er2 Er 0.1261 0.3362 0.0482
Er3 Er 0.2228 0.1813 0.6382
In1 In 0.0000 0.4607 0.7500
Rh1 Rh 0.0000 0.0000 0.0000
```

***

Density functional theory data (PBE) for a geometry-optimized ErInRh2 structure.

Output
The crystal system is cubic. Its mass density is 11.2 g cm⁻³. The calculation puts the raw total energy at -6.29 eV per atom. For the volume, the calculation gives 18.0 Å³/atom.

```
data_ErInRh2
_chemical_formula_sum 'Er4 In4 Rh8'
_cell_length_a 6.6064
_cell_length_b 6.6064
_cell_length_c 6.6064
_cell_angle_alpha 90.00
_cell_angle_beta 90.00
_cell_angle_gamma 90.00
_space_group_name_H-M_alt 'F m -3 m'
_space_group_IT_number 225
_space_group_name_Hall '-F 4 2 3'
loop_
_atom_site_label
_atom_site_type_symbol
_atom_site_fract_x
_atom_site_fract_y
_atom_site_fract_z
Er1 Er 0.0000 0.0000 0.0000
In1 In 0.0000 0.0000 0.5000
Rh1 Rh 0.2500 0.2500 0.2500
```

***

Density functional theory data (PBE) for a geometry-optimized ErIn4Rh5 structure.

Output
The crystal system is tetragonal. Its mass density is 10.9 g cm⁻³. The calculation puts the raw total energy at -5.76 eV per atom. For the volume, the calculation gives 17.4 Å³/atom.

```
data_ErIn4Rh5
_chemical_formula_sum 'Er1 In4 Rh5'
_cell_length_a 3.3054
_cell_length_b 3.3054
_cell_length_c 15.9610
_cell_angle_alpha 90.00
_cell_angle_beta 90.00
_cell_angle_gamma 90.00
_space_group_name_H-M_alt 'P 4/m m m'
_space_group_IT_number 123
_space_group_name_Hall '-P 4 2'
loop_
_atom_site_label
_atom_site_type_symbol
_atom_site_fract_x
_atom_site_fract_y
_atom_site_fract_z
Er1 Er 0.0000 0.0000 0.0000
In1 In 0.0000 0.0000 0.2039
In2 In 0.0000 0.0000 0.4012
Rh1 Rh 0.5000 0.5000 0.1063
Rh2 Rh 0.5000 0.5000 0.3030
Rh3 Rh 0.5000 0.5000 0.5000
```

***

Density functional theory data (PBE) for a geometry-optimized ErIn3Rh4 structure.

Output
The crystal system is tetragonal. Its mass density is 11.0 g cm⁻³. The calculation puts the raw total energy at -5.90 eV per atom. For the volume, the calculation gives 17.5 Å³/atom.

```
data_ErIn3Rh4
_chemical_formula_sum 'Er1 In3 Rh4'
_cell_length_a 4.5374
_cell_length_b 4.5374
_cell_length_c 6.7821
_cell_angle_alpha 90.00
_cell_angle_beta 90.00
_cell_angle_gamma 90.00
_space_group_name_H-M_alt 'P 4/m m m'
_space_group_IT_number 123
_space_group_name_Hall '-P 4 2'
loop_
_atom_site_label
_atom_site_type_symbol
_atom_site_fract_x
_atom_site_fract_y
_atom_site_fract_z
Er1 Er 0.0000 0.0000 0.0000
In1 In 0.0000 0.0000 0.5000
In2 In 0.5000 0.5000 0.0000
In3 In 0.5000 0.5000 0.5000
Rh1 Rh 0.0000 0.5000 0.2589
```

***

Density functional theory data (PBE) for a geometry-optimized Er2In8Rh structure.

Output
The crystal system is tetragonal. Its mass density is 8.6 g cm⁻³. The calculation puts the raw total energy at -3.87 eV per atom. For the volume, the calculation gives 23.7 Å³/atom.

```
data_Er2In8Rh
_chemical_formula_sum 'Er2 In8 Rh1'
_cell_length_a 4.6366
_cell_length_b 4.6366
_cell_length_c 12.1144
_cell_angle_alpha 90.00
_cell_angle_beta 90.00
_cell_angle_gamma 90.00
_space_group_name_H-M_alt 'P 4/m m m'
_space_group_IT_number 123
_space_group_name_Hall '-P 4 2'
loop_
_atom_site_label
_atom_site_type_symbol
_atom_site_fract_x
_atom_site_fract_y
_atom_site_fract_z
Er1 Er 0.0000 0.0000 0.1903
In1 In 0.0000 0.5000 0.0000
In2 In 0.0000 0.5000 0.3763
In3 In 0.5000 0.5000 0.1906
Rh1 Rh 0.0000 0.0000 0.5000
```

***

Density functional theory data (PBE) for a geometry-optimized ErIn2Rh structure.

Output
The crystal system is cubic. Its mass density is 10.1 g cm⁻³. The calculation puts the raw total energy at -4.75 eV per atom. For the volume, the calculation gives 20.5 Å³/atom.

```
data_ErIn2Rh
_chemical_formula_sum 'Er4 In8 Rh4'
_cell_length_a 6.8938
_cell_length_b 6.8938
_cell_length_c 6.8938
_cell_angle_alpha 90.00
_cell_angle_beta 90.00
_cell_angle_gamma 90.00
_space_group_name_H-M_alt 'F m -3 m'
_space_group_IT_number 225
_space_group_name_Hall '-F 4 2 3'
loop_
_atom_site_label
_atom_site_type_symbol
_atom_site_fract_x
_atom_site_fract_y
_atom_site_fract_z
Er1 Er 0.0000 0.0000 0.0000
In1 In 0.2500 0.2500 0.2500
Rh1 Rh 0.0000 0.0000 0.5000
```

***

Density functional theory data (PBE) for a geometry-optimized Er3InRh structure.

Output
The calculation puts the energy above the most stable polymorph in this dataset at 70 meV/atom. The crystal system is orthorhombic. Its mass density is 8.6 g cm⁻³. The calculation puts the raw total energy at -5.20 eV per atom. For the volume, the calculation gives 27.8 Å³/atom.

```
data_Er3InRh
_chemical_formula_sum 'Er24 In8 Rh8'
_cell_length_a 14.6437
_cell_length_b 10.6110
_cell_length_c 7.1539
_cell_angle_alpha 90.00
_cell_angle_beta 90.00
_cell_angle_gamma 90.00
_space_group_name_H-M_alt 'C m c m'
_space_group_IT_number 63
_space_group_name_Hall '-C 2c 2'
loop_
_atom_site_label
_atom_site_type_symbol
_atom_site_fract_x
_atom_site_fract_y
_atom_site_fract_z
Er1 Er 0.1314 0.0000 0.0000
Er2 Er 0.1428 0.3325 0.0073
In1 In 0.0000 0.1803 0.7500
In2 In 0.0000 0.4960 0.7500
Rh1 Rh 0.2201 0.1498 0.2500
```

***

Density functional theory data (PBE) for a geometry-optimized Er3In3Rh2 structure.

Output
The crystal system is monoclinic. Its mass density is 9.4 g cm⁻³. The calculation puts the raw total energy at -5.19 eV per atom. For the volume, the calculation gives 23.3 Å³/atom.

```
data_Er3In3Rh2
_chemical_formula_sum 'Er6 In6 Rh4'
_cell_length_a 16.0295
_cell_length_b 4.6821
_cell_length_c 5.0792
_cell_angle_alpha 90.00
_cell_angle_beta 101.82
_cell_angle_gamma 90.00
_space_group_name_H-M_alt 'C 1 2/m 1'
_space_group_IT_number 12
loop_
_space_group_symop_operation_xyz
'x,y,z'
'-x,-y,-z'
'-x,y,-z'
'x,-y,z'
'x+1/2,y+1/2,z'
'-x+1/2,-y+1/2,-z'
'-x+1/2,y+1/2,-z'
'x+1/2,-y+1/2,z'
loop_
_atom_site_label
_atom_site_type_symbol
_atom_site_fract_x
_atom_site_fract_y
_atom_site_fract_z
Er1 Er 0.0000 0.0000 0.0000
Er2 Er 0.1677 0.0000 0.5972
In1 In 0.0000 0.5000 0.5000
In2 In 0.1325 0.5000 0.0821
Rh1 Rh 0.2169 0.0000 0.1293
```